Density functional theory data (PBE with a Hubbard U) for NaCrCd2O4 after structural relaxation.

Values from the calculation:
* electronic total energy: -5.079 eV per atom
* SG: I-42m, No. 121

POSCAR file:
```
NaCrCd2O4
1.0
4.9628 0.0000 0.0000
0.0000 4.9628 0.0000
0.0000 0.0000 10.2602
Na Cr Cd O
2 2 4 8
Direct
0.0000 0.0000 0.0000
0.5000 0.5000 0.5000
0.0000 0.0000 0.5000
0.5000 0.5000 0.0000
0.0000 0.5000 0.2500
0.0000 0.5000 0.7500
0.5000 0.0000 0.2500
0.5000 0.0000 0.7500
0.2105 0.2105 0.3807
0.2105 0.7895 0.6193
0.2895 0.2895 0.8807
0.2895 0.7105 0.1193
0.7105 0.2895 0.1193
0.7105 0.7105 0.8807
0.7895 0.2105 0.6193
0.7895 0.7895 0.3807
```